## Zn2AsSe (SCAN)

Data for Zn2AsSe at its PBEsol-relaxed geometry.

Lattice parameters (Å, degrees): 5.6889 5.6889 10.9355 90.00 90.00 90.00
Closest atoms and distances in Å follow each position.
Sites, in units of the cell vectors:
Zn 0.2457 0.2500 0.1250  2 As 2.42, 2 Se 2.45
Zn 0.2500 0.7457 0.3750  2 As 2.42, 2 Se 2.45
Zn 0.2500 0.7543 0.8750  2 As 2.42, 2 Se 2.45
Zn 0.2543 0.2500 0.6250  2 As 2.42, 2 Se 2.45
Zn 0.7457 0.7500 0.6250  2 As 2.42, 2 Se 2.45
Zn 0.7500 0.2457 0.8750  2 As 2.42, 2 Se 2.45
Zn 0.7500 0.2543 0.3750  2 As 2.42, 2 Se 2.45
Zn 0.7543 0.7500 0.1250  2 As 2.42, 2 Se 2.45
As 0.0000 0.0000 0.0000  4 Zn 2.42
As 0.0000 0.5000 0.2500  4 Zn 2.42
As 0.5000 0.0000 0.7500  4 Zn 2.42
As 0.5000 0.5000 0.5000  4 Zn 2.42
Se 0.0000 0.0000 0.5000  4 Zn 2.45
Se 0.0000 0.5000 0.7500  4 Zn 2.45
Se 0.5000 0.0000 0.2500  4 Zn 2.45
Se 0.5000 0.5000 0.0000  4 Zn 2.45

Summary:
Spin magnetization ... 0.0 Bohr magnetons per cell
Calculated volume ... 22.12 Å³ per atom
E ... -17.138 eV/atom
ΔE_f (raw) ... -314 meV per atom

***

## Cr2PIr2 (SCAN)

Data for Cr2PIr2 at its PBEsol-relaxed geometry.

Lattice parameters (Å, degrees): 3.6468 3.6468 10.8111 90.00 90.00 90.00
Closest atoms and distances in Å follow each position.
Sites, in units of the cell vectors:
Cr 0.0000 0.0000 0.0964  1 Cr 2.09
Cr 0.0000 0.0000 0.9036  1 Cr 2.09
Cr 0.5000 0.5000 0.4036  1 Cr 2.09
Cr 0.5000 0.5000 0.5964  1 Cr 2.09
P 0.0000 0.0000 0.5000  8 Cr 2.78
P 0.5000 0.5000 0.0000  8 Cr 2.78
Ir 0.0000 0.5000 0.2500  4 Cr 2.47, 4 Ir 2.58
Ir 0.0000 0.5000 0.7500  4 Cr 2.47, 4 Ir 2.58
Ir 0.5000 0.0000 0.2500  4 Cr 2.47, 4 Ir 2.58
Ir 0.5000 0.0000 0.7500  4 Cr 2.47, 4 Ir 2.58

Summary:
Spin magnetization ... 0.0 Bohr magnetons per cell
Calculated volume ... 14.38 Å³ per atom
E ... -37.426 eV/atom
Formation energy from the elements ... 0.448 eV per atom

***

## AgGeBF2 (SCAN)

Data for AgGeBF2 at its PBEsol-relaxed geometry.

Lattice parameters (Å, degrees): 3.6674 3.6674 4.7461 90.00 90.00 90.00
Closest atoms and distances in Å follow each position.
Sites, in units of the cell vectors:
Ag 0.0000 0.0000 0.0000  2 B 2.37, 4 Ge 2.59
Ge 0.5000 0.5000 0.0000  4 Ag 2.59
B 0.0000 0.0000 0.5000  4 F 1.83
F 0.0000 0.5000 0.5000  2 B 1.83
F 0.5000 0.0000 0.5000  2 B 1.83

Summary:
Spin magnetization ... 0.5 Bohr magnetons per cell
Calculated volume ... 12.77 Å³ per atom
E ... -13.185 eV/atom
ΔE_f (raw) ... -192 meV per atom

***

## IrAuF2 (SCAN)

Data for IrAuF2 at its PBEsol-relaxed geometry.

Lattice parameters (Å, degrees): 6.8005 6.8005 5.1477 90.00 90.00 90.00
Closest atoms and distances in Å follow each position.
Sites, in units of the cell vectors:
Ir 0.0000 0.0000 0.0000  4 F 2.10
Ir 0.0000 0.5000 0.2500  4 F 2.10
Ir 0.5000 0.0000 0.7500  4 F 2.10
Ir 0.5000 0.5000 0.5000  4 F 2.10
Au 0.0000 0.0000 0.5000  2 Ir 2.57, 4 F 2.78
Au 0.0000 0.5000 0.7500  2 Ir 2.57, 4 F 2.78
Au 0.5000 0.0000 0.2500  2 Ir 2.57, 4 F 2.78
Au 0.5000 0.5000 0.0000  2 Ir 2.57, 4 F 2.78
F 0.1545 0.2500 0.1250  2 Ir 2.10
F 0.2500 0.6545 0.3750  2 Ir 2.10
F 0.2500 0.8455 0.8750  2 Ir 2.10
F 0.3455 0.2500 0.6250  2 Ir 2.10
F 0.6545 0.7500 0.6250  2 Ir 2.10
F 0.7500 0.1545 0.8750  2 Ir 2.10
F 0.7500 0.3455 0.3750  2 Ir 2.10
F 0.8455 0.7500 0.1250  2 Ir 2.10

Summary:
Spin magnetization ... 1.6 Bohr magnetons per cell
Calculated volume ... 14.88 Å³ per atom
E ... -36.802 eV/atom
ΔE_f (raw) ... 32 meV per atom

***

## LiCa2Ni (SCAN)

Data for LiCa2Ni at its PBEsol-relaxed geometry.

Lattice parameters (Å, degrees): 3.4476 3.4476 8.1945 90.00 90.00 90.00
Closest atoms and distances in Å follow each position.
Sites, in units of the cell vectors:
Li 0.0000 0.0000 0.0000  4 Li 3.45, 8 Ca 3.47
Ca 0.5000 0.5000 0.3015  4 Ni 2.93, 1 Ca 3.25
Ca 0.5000 0.5000 0.6985  4 Ni 2.93, 1 Ca 3.25
Ni 0.0000 0.0000 0.5000  8 Ca 2.93

Summary:
Spin magnetization ... 0.2 Bohr magnetons per cell
Calculated volume ... 24.35 Å³ per atom
E ... -9.433 eV/atom
Formation energy from the elements ... 0.040 eV per atom

***

## AlFeCl2 (SCAN)

Data for AlFeCl2 at its PBEsol-relaxed geometry.

Lattice parameters (Å, degrees): 4.7686 4.7686 3.0547 90.00 90.00 90.00
Closest atoms and distances in Å follow each position.
Sites, in units of the cell vectors:
Al 0.0000 0.0000 0.0000  8 Cl 2.83, 2 Al 3.05
Fe 0.5000 0.5000 0.0000  8 Cl 2.83, 2 Fe 3.05
Cl 0.0000 0.5000 0.5000  4 Fe 2.83, 4 Al 2.83, 2 Cl 3.05
Cl 0.5000 0.0000 0.5000  4 Fe 2.83, 4 Al 2.83, 2 Cl 3.05

Summary:
Spin magnetization ... 3.1 Bohr magnetons per cell
Energy above the lowest structure with this stoichiometry ... 11.08 kcal/mol of atoms
Calculated volume ... 17.37 Å³ per atom
E ... -10.398 eV/atom
ΔE_f (raw) ... 61 meV per atom